The following is a DFT calculation (PBE) of ScBe2Au after structural relaxation.

a b c (Å): 3.7706 3.9463 3.9463
angles (deg): 90.00 90.00 90.00
Closest atoms and distances in Å follow each position.
Positions (direct):
Sc: 0.5000 0.5000 0.0000  8 Be 2.73, 4 Au 2.79
Be: 0.0000 0.0000 0.0000  4 Sc 2.73, 4 Au 2.73, 4 Be 2.79
Be: 0.0000 0.5000 0.5000  4 Sc 2.73, 4 Au 2.73, 4 Be 2.79
Au: 0.5000 0.0000 0.5000  8 Be 2.73, 4 Sc 2.79

Results
space group	No. 123
formation energy	-0.04	eV per atom
energy above the most stable polymorph in this dataset	261.1	meV/atom
calculated total energy	-4.303	eV per atom

***

The following is a DFT calculation (PBE) of CsAlSnF6 after structural relaxation.

a b c (Å): 5.8201 5.6251 5.8924
angles (deg): 90.04 89.84 59.60
Closest atoms and distances in Å follow each position.
Positions (direct):
Cs: 0.9705 0.0247 0.9386  9 F 3.02-3.32
Al: 0.3334 0.3385 0.5147  6 F 1.78-1.92
Sn: 0.6188 0.7148 0.4324  5 F 2.26-2.45
F: 0.2228 0.1427 0.3442  1 Al 1.83
F: 0.4589 0.0295 0.7149  1 Al 1.92
F: 0.4718 0.5064 0.6942  1 Al 1.85
F: 0.0144 0.5168 0.6646  1 Al 1.83
F: 0.2439 0.6046 0.3106  1 Al 1.78
F: 0.6652 0.1219 0.3857  1 Al 1.84

Results
energy relative to the elements, uncorrected	-2995	meV per atom
space group	No. 1
calculated total energy	-5.198	eV per atom

***

The following is a DFT calculation (PBE) of Tl15Te4Pb after structural relaxation.

a b c (Å): 5.0126 5.0126 25.6627
angles (deg): 90.00 90.00 90.00
Closest atoms and distances in Å follow each position.
Positions (direct):
Tl: 0.5000 0.5000 0.0000  8 Tl 3.54, 4 Pb 3.54
Tl: 0.5000 0.5000 0.1958  4 Te 3.55, 8 Tl 3.56-3.62
Tl: 0.5000 0.5000 0.3986  4 Te 3.55, 8 Tl 3.61
Tl: 0.5000 0.5000 0.6014  4 Te 3.55, 8 Tl 3.61
Tl: 0.5000 0.5000 0.8042  4 Te 3.55, 8 Tl 3.56-3.62
Tl: 0.5000 0.0000 0.0973  8 Tl 3.54-3.56, 2 Pb 3.54, 2 Te 3.67
Tl: 0.5000 0.0000 0.2974  4 Te 3.51-3.66, 8 Tl 3.54-3.62
Tl: 0.5000 0.0000 0.5000  8 Tl 3.54-3.61, 4 Te 3.56
Tl: 0.5000 0.0000 0.7026  4 Te 3.51-3.66, 8 Tl 3.54-3.62
Tl: 0.5000 0.0000 0.9027  8 Tl 3.54-3.56, 2 Pb 3.54, 2 Te 3.67
Tl: 0.0000 0.5000 0.0973  8 Tl 3.54-3.56, 2 Pb 3.54, 2 Te 3.67
Tl: 0.0000 0.5000 0.2974  4 Te 3.51-3.66, 8 Tl 3.54-3.62
Tl: 0.0000 0.5000 0.5000  8 Tl 3.54-3.61, 4 Te 3.56
Tl: 0.0000 0.5000 0.7026  4 Te 3.51-3.66, 8 Tl 3.54-3.62
Tl: 0.0000 0.5000 0.9027  8 Tl 3.54-3.56, 2 Pb 3.54, 2 Te 3.67
Te: 0.0000 0.0000 0.2018  12 Tl 3.51-3.67
Te: 0.0000 0.0000 0.4013  12 Tl 3.55-3.66
Te: 0.0000 0.0000 0.5987  12 Tl 3.55-3.66
Te: 0.0000 0.0000 0.7982  12 Tl 3.51-3.67
Pb: 0.0000 0.0000 0.0000  12 Tl 3.54

Results
energy relative to the elements, uncorrected	-155	meV per atom
space group	No. 123
calculated total energy	-2.743	eV per atom

***

The following is a DFT calculation (PBE) of AcTb5Dy after structural relaxation.

a b c (Å): 6.6476 6.6476 11.9899
angles (deg): 106.37 106.37 95.90
Closest atoms and distances in Å follow each position.
Positions (direct):
Ac: 0.0000 0.0000 0.0000  6 Tb 3.47-3.70
Ac: 0.0000 0.0000 0.5000  6 Tb 3.47-3.70
Tb: 0.3834 0.0352 0.8309  5 Tb 3.40-3.74, 2 Dy 3.50-3.64, 1 Ac 3.70
Tb: 0.4707 0.7607 0.5347  6 Tb 3.32-3.59, 2 Dy 3.41-3.50, 1 Ac 3.63
Tb: 0.0352 0.3834 0.3309  5 Tb 3.40-3.74, 2 Dy 3.50-3.64, 1 Ac 3.70
Tb: 0.8235 0.1765 0.7500  6 Tb 3.32-3.59, 1 Dy 3.35, 2 Ac 3.47
Tb: 0.2393 0.5293 0.9653  6 Tb 3.32-3.59, 2 Dy 3.41-3.50, 1 Ac 3.63
Tb: 0.7607 0.4707 0.0347  6 Tb 3.32-3.59, 2 Dy 3.41-3.50, 1 Ac 3.63
Tb: 0.1765 0.8235 0.2500  6 Tb 3.32-3.59, 1 Dy 3.35, 2 Ac 3.47
Tb: 0.9648 0.6166 0.6691  5 Tb 3.40-3.74, 2 Dy 3.50-3.64, 1 Ac 3.70
Tb: 0.5293 0.2393 0.4653  6 Tb 3.32-3.59, 2 Dy 3.41-3.50, 1 Ac 3.63
Tb: 0.6166 0.9648 0.1691  5 Tb 3.40-3.74, 2 Dy 3.50-3.64, 1 Ac 3.70
Dy: 0.4843 0.5157 0.7500  9 Tb 3.35-3.64
Dy: 0.5157 0.4843 0.2500  9 Tb 3.35-3.64

Results
space group	No. 15
formation energy	0.10	eV per atom
calculated total energy	-4.454	eV per atom

***

The following is a DFT calculation (PBE) of Na2Er2OsO6 after structural relaxation.

a b c (Å): 5.6827 5.6827 5.8968
angles (deg): 97.64 97.64 120.19
Closest atoms and distances in Å follow each position.
Positions (direct):
Na: 0.8511 0.1489 0.0000  4 O 2.39-2.42
Na: 0.1489 0.8511 0.0000  4 O 2.39-2.42
Er: 0.3383 0.6617 0.5000  6 O 2.24-2.27
Er: 0.6617 0.3383 0.5000  6 O 2.24-2.27
Os: 0.0000 0.0000 0.5000  6 O 2.08-2.10
O: 0.7494 0.7494 0.7049  1 Os 2.10, 2 Er 2.25
O: 0.0428 0.3593 0.6917  1 Os 2.08, 2 Er 2.24-2.27
O: 0.2506 0.2506 0.2951  1 Os 2.10, 2 Er 2.25
O: 0.3593 0.0428 0.6917  1 Os 2.08, 2 Er 2.24-2.27
O: 0.9572 0.6407 0.3083  1 Os 2.08, 2 Er 2.24-2.27
O: 0.6407 0.9572 0.3083  1 Os 2.08, 2 Er 2.24-2.27

Results
energy relative to the elements, uncorrected	-2218	meV per atom
space group	No. 12
calculated total energy	-7.013	eV per atom

***

The following is a DFT calculation (PBE) of LaZn2IrI after structural relaxation.

a b c (Å): 4.9717 4.9717 5.4208
angles (deg): 90.00 90.00 90.00
Closest atoms and distances in Å follow each position.
Positions (direct):
I: 0.5000 0.5000 0.5000  4 La 3.52, 8 Zn 3.68
Zn: 0.0000 0.5000 0.0000  2 Ir 2.49
Zn: 0.5000 0.0000 0.0000  2 Ir 2.49
Ir: 0.0000 0.0000 0.0000  4 Zn 2.49, 2 La 2.71
La: 0.0000 0.0000 0.5000  2 Ir 2.71

Results
energy relative to the elements, uncorrected	-555	meV per atom
space group	No. 123
calculated total energy	-4.133	eV per atom

***

The following is a DFT calculation (PBE) of KFeAs2 after structural relaxation.

a b c (Å): 5.5574 5.5574 5.5574
angles (deg): 135.34 135.34 65.00
Closest atoms and distances in Å follow each position.
Positions (direct):
As: 0.0000 0.0000 0.0000  4 Fe 2.99, 4 K 3.15, 4 As 3.15
As: 0.2500 0.7500 0.5000  4 K 2.99, 4 As 3.15, 4 Fe 3.15
Fe: 0.5000 0.5000 0.0000  8 As 2.99-3.15, 4 K 3.15
K: 0.7500 0.2500 0.5000  8 As 2.99-3.15, 4 Fe 3.15

Results
space group	No. 119
formation energy	0.61	eV per atom
energy above the most stable polymorph in this dataset	759.1	meV/atom
calculated total energy	-4.101	eV per atom

***

The following is a DFT calculation (PBE) of Y2Er3Tl2 after structural relaxation.

a b c (Å): 4.7718 5.9420 8.3738
angles (deg): 106.65 90.00 113.67
Closest atoms and distances in Å follow each position.
Positions (direct):
Y: 0.8825 0.7650 0.2337  4 Tl 3.18-3.40
Y: 0.1175 0.2350 0.7663  4 Tl 3.18-3.40
Er: 0.5000 0.0000 0.0000  4 Tl 3.18, 2 Er 3.50
Er: 0.6339 0.2678 0.4389  3 Tl 3.16-3.34, 4 Er 3.38-3.50
Er: 0.3661 0.7322 0.5611  3 Tl 3.16-3.34, 4 Er 3.38-3.50
Tl: 0.8184 0.6368 0.8142  5 Er 3.16-3.34, 4 Y 3.18-3.40
Tl: 0.1816 0.3632 0.1858  5 Er 3.16-3.34, 4 Y 3.18-3.40

Results
space group	No. 12
formation energy	-0.18	eV per atom
calculated total energy	-4.655	eV per atom

***

The following is a DFT calculation (PBE) of PrScTeO2 after structural relaxation.

a b c (Å): 4.1169 6.8883 7.6950
angles (deg): 109.78 90.00 90.00
Closest atoms and distances in Å follow each position.
Positions (direct):
Pr: 0.2500 0.6878 0.9319  4 O 2.36-2.48
Pr: 0.7500 0.3122 0.0681  4 O 2.36-2.48
Sc: 0.2500 0.6350 0.4199  4 O 2.05-2.18
Sc: 0.7500 0.3650 0.5801  4 O 2.05-2.18
Te: 0.2500 0.0362 0.7355  1 Sc 3.00, 3 Pr 3.24-3.33
Te: 0.7500 0.9638 0.2645  1 Sc 3.00, 3 Pr 3.24-3.33
O: 0.7500 0.5259 0.3997  3 Sc 2.05-2.18
O: 0.2500 0.4741 0.6003  3 Sc 2.05-2.18
O: 0.7500 0.5125 0.8608  1 Sc 2.05
O: 0.2500 0.4875 0.1392  1 Sc 2.05

Results
energy relative to the elements, uncorrected	-2798	meV per atom
space group	No. 11
calculated total energy	-7.632	eV per atom

***

The following is a DFT calculation (PBE) of Ba2Tl3AgPd12 after structural relaxation.

a b c (Å): 7.2054 7.2054 7.2054
angles (deg): 83.82 83.82 83.82
Closest atoms and distances in Å follow each position.
Positions (direct):
Ba: 0.6607 0.6607 0.6607  9 Pd 2.94-3.21
Ba: 0.3393 0.3393 0.3393  9 Pd 2.94-3.21
Tl: 0.5000 0.0000 0.0000  6 Pd 2.79-2.93
Tl: 0.0000 0.5000 0.0000  6 Pd 2.79-2.93
Tl: 0.0000 0.0000 0.5000  6 Pd 2.79-2.93
Ag: 0.0000 0.0000 0.0000  6 Pd 2.69
Pd: 0.3986 0.3986 0.8896  4 Pd 2.67-2.98, 2 Tl 2.93
Pd: 0.8059 0.8059 0.2812  5 Pd 2.67-2.98, 1 Ag 2.69, 1 Tl 2.79, 1 Ba 2.94
Pd: 0.2812 0.8059 0.8059  5 Pd 2.67-2.98, 1 Ag 2.69, 1 Tl 2.79, 1 Ba 2.94
Pd: 0.8896 0.3986 0.3986  4 Pd 2.67-2.98, 2 Tl 2.93
Pd: 0.8059 0.2812 0.8059  5 Pd 2.67-2.98, 1 Ag 2.69, 1 Tl 2.79, 1 Ba 2.94
Pd: 0.3986 0.8896 0.3986  4 Pd 2.67-2.98, 2 Tl 2.93
Pd: 0.6014 0.6014 0.1104  4 Pd 2.67-2.98, 2 Tl 2.93
Pd: 0.1941 0.1941 0.7188  5 Pd 2.67-2.98, 1 Ag 2.69, 1 Tl 2.79, 1 Ba 2.94
Pd: 0.7188 0.1941 0.1941  5 Pd 2.67-2.98, 1 Ag 2.69, 1 Tl 2.79, 1 Ba 2.94
Pd: 0.1104 0.6014 0.6014  4 Pd 2.67-2.98, 2 Tl 2.93
Pd: 0.1941 0.7188 0.1941  5 Pd 2.67-2.98, 1 Ag 2.69, 1 Tl 2.79, 1 Ba 2.94
Pd: 0.6014 0.1104 0.6014  4 Pd 2.67-2.98, 2 Tl 2.93

Results
space group	No. 166
formation energy	-0.13	eV per atom
calculated total energy	-4.360	eV per atom

***

The following is a DFT calculation (PBE) of AcPmPb2 after structural relaxation.

a b c (Å): 4.9852 4.9852 7.7110
angles (deg): 71.14 71.14 60.00
Closest atoms and distances in Å follow each position.
Positions (direct):
Ac: 0.6701 0.6701 0.9897  6 Pb 3.46-3.53, 1 Pm 3.75
Pm: 0.4956 0.4956 0.5132  6 Pb 3.24-3.35
Pb: 0.0925 0.0925 0.7224  1 Pb 3.20, 3 Pm 3.24, 3 Ac 3.46
Pb: 0.2418 0.2418 0.2747  1 Pb 3.20, 3 Pm 3.35, 3 Ac 3.53

Results
space group	No. 160
formation energy	-0.36	eV per atom
energy above the most stable polymorph in this dataset	122.3	meV/atom
calculated total energy	-4.432	eV per atom

***

The following is a DFT calculation (PBE) of PmAgH7Pd2 after structural relaxation.

a b c (Å): 3.7269 3.7269 8.5585
angles (deg): 102.58 102.58 90.00
Closest atoms and distances in Å follow each position.
Positions (direct):
Pm: 0.5000 0.5000 0.0000  12 H 2.52-2.64
Ag: 0.2500 0.7500 0.5000  4 H 1.91
H: 0.1057 0.6057 0.2113  2 Pd 1.86
H: 0.0000 0.0000 0.0000  2 Pd 1.78
H: 0.3943 0.8943 0.7887  2 Pd 1.86
H: 0.7771 0.7771 0.5542  1 Pd 1.85, 2 Ag 1.91
H: 0.6039 0.1039 0.2077  2 Pd 1.87
H: 0.2229 0.2229 0.4458  1 Pd 1.85, 2 Ag 1.91
H: 0.8961 0.3961 0.7923  2 Pd 1.87
Pd: 0.8905 0.8905 0.7810  6 H 1.78-1.87
Pd: 0.1095 0.1095 0.2190  6 H 1.78-1.87

Results
space group	No. 119
calculated total energy	-3.977	eV per atom

***

The following is a DFT calculation (PBE) of CaHg2Te after structural relaxation.

a b c (Å): 6.1830 4.4027 4.4027
angles (deg): 90.00 90.00 90.00
Closest atoms and distances in Å follow each position.
Positions (direct):
Ca: 0.5000 0.0000 0.5000  4 Te 3.11
Te: 0.5000 0.5000 0.0000  4 Ca 3.11
Hg: 0.0000 0.0000 0.0000  4 Hg 3.11
Hg: 0.0000 0.5000 0.5000  4 Hg 3.11

Results
energy relative to the elements, uncorrected	-662	meV per atom
space group	No. 123
calculated total energy	-2.099	eV per atom

***

The following is a DFT calculation (PBE) of ZrAlCo after structural relaxation.

a b c (Å): 5.6803 5.6802 2.9823
angles (deg): 74.78 74.78 30.44
Closest atoms and distances in Å follow each position.
Positions (direct):
Co: 0.3467 0.3467 0.6533  4 Al 2.49, 4 Zr 2.74
Al: 0.9730 0.9730 0.0270  4 Co 2.49
Zr: 0.6802 0.6802 0.3198  4 Co 2.74, 4 Zr 2.98, 4 Al 3.04

Results
space group	No. 107
formation energy	-0.40	eV per atom
calculated total energy	-6.862	eV per atom

***

The following is a DFT calculation (PBE) of NdAlFe4 after structural relaxation.

a b c (Å): 5.0227 5.0227 5.0227
angles (deg): 60.00 60.00 60.00
Closest atoms and distances in Å follow each position.
Positions (direct):
Nd: 0.2500 0.2500 0.2500  12 Fe 2.95, 4 Al 3.08
Fe: 0.6265 0.6265 0.1206  6 Fe 2.48-2.54
Fe: 0.6265 0.1206 0.6265  6 Fe 2.48-2.54
Fe: 0.6265 0.6265 0.6265  6 Fe 2.48-2.54
Fe: 0.1206 0.6265 0.6265  6 Fe 2.48-2.54
Al: 0.0000 0.0000 0.0000  12 Fe 2.94, 4 Nd 3.08

Results
space group	No. 216
formation energy	-0.02	eV per atom
calculated total energy	-7.076	eV per atom

***

The following is a DFT calculation (PBE) of ThPaP2Rh5 after structural relaxation.

a b c (Å): 4.0477 4.0477 10.6632
angles (deg): 90.00 90.00 90.00
Closest atoms and distances in Å follow each position.
Positions (direct):
Th: 0.0000 0.0000 0.5000  4 Rh 2.86
Pa: 0.0000 0.0000 0.0000  8 Rh 2.81
P: 0.5000 0.5000 0.2857  5 Rh 2.28-2.30
P: 0.5000 0.5000 0.7143  5 Rh 2.28-2.30
Rh: 0.0000 0.5000 0.1831  2 P 2.30
Rh: 0.5000 0.0000 0.1831  2 P 2.30
Rh: 0.0000 0.5000 0.8169  2 P 2.30
Rh: 0.5000 0.0000 0.8169  2 P 2.30
Rh: 0.5000 0.5000 0.5000  2 P 2.28

Results
space group	No. 123
formation energy	-0.83	eV per atom
calculated total energy	-7.995	eV per atom

***

The following is a DFT calculation (PBE) of ZrHBr after structural relaxation.

a b c (Å): 3.3795 3.8476 9.5202
angles (deg): 91.33 90.00 90.00
Closest atoms and distances in Å follow each position.
Positions (direct):
Zr: 0.2500 0.2352 0.6092  4 H 2.08-2.14
Zr: 0.7500 0.7648 0.3908  4 H 2.08-2.14
H: 0.7500 0.2627 0.4820  4 Zr 2.08-2.14
H: 0.2500 0.7373 0.5180  4 Zr 2.08-2.14
Br: 0.2500 0.7595 0.1706  2 Zr 2.69
Br: 0.7500 0.2405 0.8294  2 Zr 2.69

Results
space group	No. 11
calculated total energy	-5.259	eV per atom

***

The following is a DFT calculation (PBE) of Hf2CdTc2 after structural relaxation.

a b c (Å): 4.3477 4.3477 6.3629
angles (deg): 70.02 70.02 90.00
Closest atoms and distances in Å follow each position.
Positions (direct):
Hf: 0.7500 0.2500 0.5000  4 Tc 2.68
Hf: 0.2500 0.7500 0.5000  4 Tc 2.68
Tc: 0.3911 0.3911 0.2178  1 Tc 2.43, 4 Hf 2.68
Tc: 0.6089 0.6089 0.7822  1 Tc 2.43, 4 Hf 2.68
Cd: 0.0000 0.0000 0.0000  8 Tc 3.31, 8 Hf 3.53

Results
space group	No. 139
formation energy	0.40	eV per atom
energy above the most stable polymorph in this dataset	452.7	meV/atom
calculated total energy	-7.908	eV per atom

***

The following is a DFT calculation (PBE) of LiMnZnSb after structural relaxation.

a b c (Å): 4.5451 4.5451 4.5451
angles (deg): 60.00 60.00 60.00
Closest atoms and distances in Å follow each position.
Positions (direct):
Sb: 0.5000 0.5000 0.5000  4 Mn 2.78, 4 Li 2.78
Zn: 0.0000 0.0000 0.0000  4 Li 2.78, 4 Mn 2.78
Mn: 0.7500 0.7500 0.7500  4 Zn 2.78, 4 Sb 2.78
Li: 0.2500 0.2500 0.2500  4 Sb 2.78, 4 Zn 2.78

Results
energy relative to the elements, uncorrected	-39	meV per atom
space group	No. 216
calculated total energy	-4.159	eV per atom

***

The following is a DFT calculation (PBE) of LiScMo2 after structural relaxation.

a b c (Å): 5.3246 5.4912 2.6889
angles (deg): 82.53 76.31 115.27
Closest atoms and distances in Å follow each position.
Positions (direct):
Li: 0.5000 0.5000 0.0000  2 Sc 2.68, 2 Li 2.69, 4 Mo 2.90
Mo: 0.0000 0.0000 0.0000  4 Mo 2.68-2.69, 2 Li 2.90, 2 Sc 2.90
Mo: 0.5000 0.0000 0.5000  4 Mo 2.68-2.69, 2 Sc 2.90, 2 Li 2.90
Sc: 0.0000 0.5000 0.5000  2 Li 2.68, 2 Sc 2.69, 4 Mo 2.90

Results
space group	No. 12
formation energy	0.31	eV per atom
energy above the most stable polymorph in this dataset	131.5	meV/atom
calculated total energy	-7.163	eV per atom